[1]
Compound: LiCuSi2
Source: Alexandria
Functional: PBE
Structure: optimized geometry

Crystal system   tetragonal
ΔE_f (raw)   7.1 kJ/mol of formula units
Excess energy over the best structure of this formula in the dataset   0.056 eV per atom
Spin magnetization   0.0 μB per cell

Cell: 4.6467 4.6467 4.6467 Å, 132.88 132.88 68.84°
Sites, in units of the cell vectors:
Li 0.0000 0.0000 0.0000
Cu 0.5000 0.5000 0.0000
Si 0.2500 0.7500 0.5000
Si 0.7500 0.2500 0.5000

***

[2]
Compound: Li3Cu7Si2
Source: Alexandria
Functional: PBE
Structure: optimized geometry

Crystal system   trigonal
ΔE_f (raw)   -90.0 kJ/mol of formula units
Excess energy over the best structure of this formula in the dataset   0.081 eV per atom
Spin magnetization   0.0 μB per cell

Cell: 8.4263 8.4263 8.4263 Å, 33.99 33.99 33.99°
Sites, in units of the cell vectors:
Li 0.0000 0.0000 0.0000
Li 0.1465 0.1465 0.1465
Li 0.8535 0.8535 0.8535
Cu 0.0808 0.5825 0.5825
Cu 0.4175 0.4175 0.9192
Cu 0.4175 0.9192 0.4175
Cu 0.5000 0.5000 0.5000
Cu 0.5825 0.0808 0.5825
Cu 0.5825 0.5825 0.0808
Cu 0.9192 0.4175 0.4175
Si 0.3328 0.3328 0.3328
Si 0.6672 0.6672 0.6672

***

[3]
Compound: LiCuSi2
Source: Alexandria
Functional: PBE
Structure: optimized geometry

Crystal system   tetragonal
ΔE_f (raw)   44.4 kJ/mol of formula units
Excess energy over the best structure of this formula in the dataset   0.153 eV per atom
Spin magnetization   0.0 μB per cell

Cell: 8.8475 8.8475 8.8475 Å, 156.02 156.02 34.16°
Sites, in units of the cell vectors:
Li 0.0000 0.0000 0.0000
Li 0.7500 0.2500 0.5000
Cu 0.2500 0.7500 0.5000
Cu 0.5000 0.5000 0.0000
Si 0.1217 0.6250 0.9967
Si 0.3750 0.3717 0.4967
Si 0.6283 0.1250 0.0033
Si 0.8750 0.8783 0.5033